VASP calculation (PBE-GGA) on an optimized crystal structure of TiGaCoTc.

Lattice parameters (Å, degrees): 3.1610 4.1081 4.1842 90.00 90.00 90.00
Fractional coordinates of all 4 atoms:
Ti 0.0000 0.0000 0.0000
Ga 0.0000 0.5000 0.5000
Co 0.5000 0.0000 0.5000
Tc 0.5000 0.5000 0.0000

Properties
- magnetization (μB/atom) = 0.099
- polymorph energy (0 for the lowest one) (meV/atom) = 0
- SG = Pmmm
- energy of formation (eV/f.u.) = -1.62